Entry 1:
# YSc2HPd, optimized geometry, DFT PBE-GGA
data_YSc2HPd
_chemical_formula_sum 'Y1 Sc2 H1 Pd1'
_space_group_name_H-M_alt 'P 4/m m m'
_space_group_IT_number 123
_space_group_name_Hall '-P 4 2'
_cell_length_a 4.2679
_cell_length_b 4.2679
_cell_length_c 5.0263
_cell_angle_alpha 90.00
_cell_angle_beta 90.00
_cell_angle_gamma 90.00
loop_
_atom_site_label
_atom_site_type_symbol
_atom_site_fract_x
_atom_site_fract_y
_atom_site_fract_z
Y1 Y 0.0000 0.0000 0.0000
Sc1 Sc 0.0000 0.5000 0.5000
H1 H 0.0000 0.0000 0.5000
Pd1 Pd 0.5000 0.5000 0.0000
# * energy: -5.914 eV per atom
# * calculated volume: 18.31 A^3/atom
# * Fermi-level density of states: 4.83 states/eV/cell
# * total magnetization: 0.3029 μB per atom

---

Entry 2:
# Mg2TiIr, optimized geometry, DFT PBE-GGA
data_Mg2TiIr
_chemical_formula_sum 'Mg8 Ti4 Ir4'
_space_group_name_H-M_alt 'F m -3 m'
_space_group_IT_number 225
_space_group_name_Hall '-F 4 2 3'
_cell_length_a 6.4110
_cell_length_b 6.4110
_cell_length_c 6.4110
_cell_angle_alpha 90.00
_cell_angle_beta 90.00
_cell_angle_gamma 90.00
loop_
_atom_site_label
_atom_site_type_symbol
_atom_site_fract_x
_atom_site_fract_y
_atom_site_fract_z
Mg1 Mg 0.2500 0.2500 0.2500
Ti1 Ti 0.0000 0.0000 0.0000
Ir1 Ir 0.0000 0.0000 0.5000
# * calculated volume: 16.47 A^3/atom
# * Fermi-level density of states: 10.04 states/eV/cell
# * polymorph energy (0 for the lowest one): 0.00 eV/f.u.
# * total magnetization: 0.0000 μB per atom

---

Entry 3:
# Mg3CrS, optimized geometry, DFT PBE-GGA
data_Mg3CrS
_chemical_formula_sum 'Mg3 Cr1 S1'
_space_group_name_H-M_alt 'P m -3 m'
_space_group_IT_number 221
_space_group_name_Hall '-P 4 2 3'
_cell_length_a 5.1726
_cell_length_b 5.1726
_cell_length_c 5.1726
_cell_angle_alpha 90.00
_cell_angle_beta 90.00
_cell_angle_gamma 90.00
loop_
_atom_site_label
_atom_site_type_symbol
_atom_site_fract_x
_atom_site_fract_y
_atom_site_fract_z
Mg1 Mg 0.0000 0.0000 0.5000
Cr1 Cr 0.0000 0.0000 0.0000
S1 S 0.5000 0.5000 0.5000
# * calculated volume: 27.68 A^3/atom
# * E_form (uncorrected): 0.79 eV/atom
# * Fermi-level density of states: 4.22 states/eV/cell
# * polymorph energy (0 for the lowest one): 3.09 eV/f.u.
# * total magnetization: 0.9354 μB per atom

---

Entry 4:
# K3Ag3PbBr8, optimized geometry, DFT PBE-GGA
data_K3Ag3PbBr8
_chemical_formula_sum 'K6 Ag6 Pb2 Br16'
_space_group_name_H-M_alt 'C 1 2/m 1'
_space_group_IT_number 12
_cell_length_a 15.2539
_cell_length_b 8.6035
_cell_length_c 8.9657
_cell_angle_alpha 90.00
_cell_angle_beta 123.68
_cell_angle_gamma 90.00
loop_
_space_group_symop_operation_xyz
'x,y,z'
'-x,-y,-z'
'-x,y,-z'
'x,-y,z'
'x+1/2,y+1/2,z'
'-x+1/2,-y+1/2,-z'
'-x+1/2,y+1/2,-z'
'x+1/2,-y+1/2,z'
loop_
_atom_site_label
_atom_site_type_symbol
_atom_site_fract_x
_atom_site_fract_y
_atom_site_fract_z
K1 K 0.0000 0.0000 0.0000
K2 K 0.2500 0.2500 0.0000
Ag1 Ag 0.0000 0.5000 0.5000
Ag2 Ag 0.2500 0.2500 0.5000
Pb1 Pb 0.0000 0.0000 0.5000
Br1 Br 0.0082 0.2607 0.2770
Br2 Br 0.2418 0.0000 0.7134
Br3 Br 0.2415 0.5000 0.7094
# * calculated volume: 32.64 A^3/atom
# * E_form (uncorrected): -0.99 eV/atom
# * Fermi-level density of states: 0.00 states/eV/cell
# * total magnetization: 0.0000 μB per atom

---

Entry 5:
# NiGe2TeSe, optimized geometry, DFT PBE-GGA
data_NiGe2TeSe
_chemical_formula_sum 'Ni1 Ge2 Te1 Se1'
_space_group_name_H-M_alt 'P 4/m m m'
_space_group_IT_number 123
_space_group_name_Hall '-P 4 2'
_cell_length_a 5.1216
_cell_length_b 5.1216
_cell_length_c 5.3295
_cell_angle_alpha 90.00
_cell_angle_beta 90.00
_cell_angle_gamma 90.00
loop_
_atom_site_label
_atom_site_type_symbol
_atom_site_fract_x
_atom_site_fract_y
_atom_site_fract_z
Ni1 Ni 0.0000 0.0000 0.0000
Ge1 Ge 0.0000 0.5000 0.5000
Te1 Te 0.5000 0.5000 0.0000
Se1 Se 0.5000 0.5000 0.5000
# * calculated volume: 27.96 A^3/atom
# * E_form (uncorrected): 1.08 eV/atom
# * Fermi-level density of states: 4.94 states/eV/cell
# * total magnetization: 0.0682 μB per atom

---

Entry 6:
# TlCdSnSb2, optimized geometry, DFT PBE-GGA
data_TlCdSnSb2
_chemical_formula_sum 'Tl1 Cd1 Sn1 Sb2'
_space_group_name_H-M_alt 'P 4/m m m'
_space_group_IT_number 123
_space_group_name_Hall '-P 4 2'
_cell_length_a 5.7589
_cell_length_b 5.7589
_cell_length_c 5.5646
_cell_angle_alpha 90.00
_cell_angle_beta 90.00
_cell_angle_gamma 90.00
loop_
_atom_site_label
_atom_site_type_symbol
_atom_site_fract_x
_atom_site_fract_y
_atom_site_fract_z
Tl1 Tl 0.0000 0.0000 0.0000
Cd1 Cd 0.5000 0.5000 0.0000
Sn1 Sn 0.5000 0.5000 0.5000
Sb1 Sb 0.0000 0.5000 0.5000
# * calculated volume: 36.91 A^3/atom
# * E_form (uncorrected): 0.45 eV/atom
# * Fermi-level density of states: 5.12 states/eV/cell
# * total magnetization: 0.0000 μB per atom

---

Entry 7:
# MgMoIr2, optimized geometry, DFT PBE-GGA
data_MgMoIr2
_chemical_formula_sum 'Mg2 Mo2 Ir4'
_space_group_name_H-M_alt 'I 4/m m m'
_space_group_IT_number 139
_space_group_name_Hall '-I 4 2'
_cell_length_a 4.0780
_cell_length_b 4.0780
_cell_length_c 7.3081
_cell_angle_alpha 90.00
_cell_angle_beta 90.00
_cell_angle_gamma 90.00
loop_
_atom_site_label
_atom_site_type_symbol
_atom_site_fract_x
_atom_site_fract_y
_atom_site_fract_z
Mg1 Mg 0.0000 0.0000 0.0000
Mo1 Mo 0.0000 0.0000 0.5000
Ir1 Ir 0.0000 0.5000 0.2500
# * energy: -7.735 eV per atom
# * calculated volume: 15.19 A^3/atom
# * Fermi-level density of states: 6.19 states/eV/cell
# * total magnetization: 0.0004 μB per atom

---

Entry 8:
# Tb3Dy2Er9, optimized geometry, DFT PBE-GGA
data_Tb3Dy2Er9
_chemical_formula_sum 'Tb3 Dy2 Er9'
_space_group_name_H-M_alt 'P -1'
_space_group_IT_number 2
_cell_length_a 6.1614
_cell_length_b 8.6202
_cell_length_c 8.6600
_cell_angle_alpha 79.34
_cell_angle_beta 77.42
_cell_angle_gamma 86.72
loop_
_space_group_symop_operation_xyz
'x,y,z'
'-x,-y,-z'
loop_
_atom_site_label
_atom_site_type_symbol
_atom_site_fract_x
_atom_site_fract_y
_atom_site_fract_z
Tb1 Tb 0.0000 0.0000 0.0000
Tb2 Tb 0.2545 0.3813 0.2723
Dy1 Dy 0.4515 0.9685 0.7009
Er1 Er 0.0000 0.0000 0.5000
Er2 Er 0.0924 0.3144 0.6936
Er3 Er 0.1883 0.6181 0.8961
Er4 Er 0.3469 0.6682 0.4926
Er5 Er 0.4909 0.2483 0.9167
# * energy: -4.464 eV per atom
# * calculated volume: 31.51 A^3/atom
# * Fermi-level density of states: 21.00 states/eV/cell
# * total magnetization: 0.0000 μB per atom

---

Entry 9:
# RbZr2Cl8, optimized geometry, DFT PBE-GGA
data_RbZr2Cl8
_chemical_formula_sum 'Rb1 Zr2 Cl8'
_space_group_name_H-M_alt 'P -3'
_space_group_IT_number 147
_cell_length_a 9.5152
_cell_length_b 9.5152
_cell_length_c 5.1011
_cell_angle_alpha 90.00
_cell_angle_beta 90.00
_cell_angle_gamma 120.00
loop_
_space_group_symop_operation_xyz
'x,y,z'
'-x,-y,-z'
'-y,x-y,z'
'y,-x+y,-z'
'-x+y,-x,z'
'x-y,x,-z'
loop_
_atom_site_label
_atom_site_type_symbol
_atom_site_fract_x
_atom_site_fract_y
_atom_site_fract_z
Rb1 Rb 0.0000 0.0000 0.0000
Zr1 Zr 0.3333 0.6667 0.2665
Cl1 Cl 0.1859 0.3751 0.2700
Cl2 Cl 0.3333 0.6667 0.7676
# * calculated volume: 36.37 A^3/atom
# * E_form (uncorrected): -1.71 eV/atom
# * Fermi-level density of states: 5.27 states/eV/cell
# * polymorph energy (0 for the lowest one): 0.00 eV/f.u.
# * total magnetization: 0.0936 μB per atom

---

Entry 10:
# Ce2BeGa, optimized geometry, DFT PBE-GGA
data_Ce2BeGa
_chemical_formula_sum 'Ce6 Be3 Ga3'
_space_group_name_H-M_alt 'R -3 m'
_space_group_IT_number 166
_space_group_name_Hall '-R 3 2"'
_cell_length_a 2.9526
_cell_length_b 2.9526
_cell_length_c 33.8192
_cell_angle_alpha 90.00
_cell_angle_beta 90.00
_cell_angle_gamma 120.00
loop_
_atom_site_label
_atom_site_type_symbol
_atom_site_fract_x
_atom_site_fract_y
_atom_site_fract_z
Ce1 Ce 0.0000 0.0000 0.0875
Be1 Be 0.0000 0.0000 0.0000
Ga1 Ga 0.0000 0.0000 0.5000
# * calculated volume: 21.28 A^3/atom
# * Fermi-level density of states: 21.09 states/eV/cell
# * polymorph energy (0 for the lowest one): 2.23 eV/f.u.
# * total magnetization: 0.0004 μB per atom

---

Entry 11:
# LiCo2Sn, optimized geometry, DFT PBE-GGA
data_LiCo2Sn
_chemical_formula_sum 'Li4 Co8 Sn4'
_space_group_name_H-M_alt 'I -4 2 d'
_space_group_IT_number 122
_space_group_name_Hall 'I -4 2bw'
_cell_length_a 6.7804
_cell_length_b 6.7804
_cell_length_c 5.0599
_cell_angle_alpha 90.00
_cell_angle_beta 90.00
_cell_angle_gamma 90.00
loop_
_atom_site_label
_atom_site_type_symbol
_atom_site_fract_x
_atom_site_fract_y
_atom_site_fract_z
Li1 Li 0.0000 0.0000 0.0000
Co1 Co 0.2319 0.2500 0.1250
Sn1 Sn 0.0000 0.0000 0.5000
# * energy: -4.616 eV per atom
# * calculated volume: 14.54 A^3/atom
# * Fermi-level density of states: 20.73 states/eV/cell
# * total magnetization: 0.6344 μB per atom

---

Entry 12:
# LiTh2Se3, optimized geometry, DFT PBE-GGA
data_LiTh2Se3
_chemical_formula_sum 'Li4 Th8 Se12'
_space_group_name_H-M_alt 'P 1 21/c 1'
_space_group_IT_number 14
_cell_length_a 5.8915
_cell_length_b 12.4397
_cell_length_c 8.2571
_cell_angle_alpha 90.00
_cell_angle_beta 90.00
_cell_angle_gamma 90.00
loop_
_space_group_symop_operation_xyz
'x,y,z'
'-x,-y,-z'
'-x,y+1/2,-z+1/2'
'x,-y+1/2,z+1/2'
loop_
_atom_site_label
_atom_site_type_symbol
_atom_site_fract_x
_atom_site_fract_y
_atom_site_fract_z
Li1 Li 0.2489 0.0847 0.3909
Th1 Th 0.2499 0.0787 0.8795
Th2 Th 0.2498 0.7429 0.3791
Se1 Se 0.2502 0.2498 0.1292
Se2 Se 0.2501 0.5757 0.6487
Se3 Se 0.2500 0.5794 0.1142
# * calculated volume: 25.21 A^3/atom
# * E_form (uncorrected): -1.52 eV/atom
# * Fermi-level density of states: 12.53 states/eV/cell
# * total magnetization: 0.0000 μB per atom

---

Entry 13:
# Y2Zn6Au3, optimized geometry, DFT PBE-GGA
data_Y2Zn6Au3
_chemical_formula_sum 'Y2 Zn6 Au3'
_space_group_name_H-M_alt 'P -6 2 m'
_space_group_IT_number 189
_space_group_name_Hall 'P -6 -2'
_cell_length_a 7.5833
_cell_length_b 7.5833
_cell_length_c 4.2482
_cell_angle_alpha 90.00
_cell_angle_beta 90.00
_cell_angle_gamma 120.00
loop_
_atom_site_label
_atom_site_type_symbol
_atom_site_fract_x
_atom_site_fract_y
_atom_site_fract_z
Y1 Y 0.3333 0.6667 0.0000
Zn1 Zn 0.0000 0.2559 0.5000
Zn2 Zn 0.0000 0.8050 0.0000
Au1 Au 0.0000 0.5943 0.5000
# * energy: -3.176 eV per atom
# * calculated volume: 19.23 A^3/atom
# * Fermi-level density of states: 6.35 states/eV/cell
# * total magnetization: 0.0000 μB per atom

---

Entry 14:
# Mn2ZnIn, optimized geometry, DFT PBE-GGA
data_Mn2ZnIn
_chemical_formula_sum 'Mn4 Zn2 In2'
_space_group_name_H-M_alt 'C 1 2/m 1'
_space_group_IT_number 12
_cell_length_a 9.1051
_cell_length_b 3.0749
_cell_length_c 4.8560
_cell_angle_alpha 90.00
_cell_angle_beta 105.70
_cell_angle_gamma 90.00
loop_
_space_group_symop_operation_xyz
'x,y,z'
'-x,-y,-z'
'-x,y,-z'
'x,-y,z'
'x+1/2,y+1/2,z'
'-x+1/2,-y+1/2,-z'
'-x+1/2,y+1/2,-z'
'x+1/2,-y+1/2,z'
loop_
_atom_site_label
_atom_site_type_symbol
_atom_site_fract_x
_atom_site_fract_y
_atom_site_fract_z
Mn1 Mn 0.2424 0.0000 0.2321
Zn1 Zn 0.0000 0.5000 0.0000
In1 In 0.0000 0.0000 0.5000
# * energy: -5.332 eV per atom
# * calculated volume: 16.36 A^3/atom
# * Fermi-level density of states: 5.21 states/eV/cell
# * total magnetization: 1.6509 μB per atom

---

Entry 15:
# Nb2OsO, optimized geometry, DFT PBE-GGA
data_Nb2OsO
_chemical_formula_sum 'Nb8 Os4 O4'
_space_group_name_H-M_alt 'I -4 2 d'
_space_group_IT_number 122
_space_group_name_Hall 'I -4 2bw'
_cell_length_a 5.2408
_cell_length_b 5.2408
_cell_length_c 10.4771
_cell_angle_alpha 90.00
_cell_angle_beta 90.00
_cell_angle_gamma 90.00
loop_
_atom_site_label
_atom_site_type_symbol
_atom_site_fract_x
_atom_site_fract_y
_atom_site_fract_z
Nb1 Nb 0.1766 0.2500 0.1250
Os1 Os 0.0000 0.0000 0.5000
O1 O 0.0000 0.0000 0.0000
# * calculated volume: 17.99 A^3/atom
# * E_form (uncorrected): -0.45 eV/atom
# * Fermi-level density of states: 6.79 states/eV/cell
# * total magnetization: 0.0000 μB per atom

---

Entry 16:
# K2TlBiF6, optimized geometry, DFT PBE-GGA
data_K2TlBiF6
_chemical_formula_sum 'K8 Tl4 Bi4 F24'
_space_group_name_H-M_alt 'F m -3 m'
_space_group_IT_number 225
_space_group_name_Hall '-F 4 2 3'
_cell_length_a 9.7919
_cell_length_b 9.7919
_cell_length_c 9.7919
_cell_angle_alpha 90.00
_cell_angle_beta 90.00
_cell_angle_gamma 90.00
loop_
_atom_site_label
_atom_site_type_symbol
_atom_site_fract_x
_atom_site_fract_y
_atom_site_fract_z
K1 K 0.2500 0.2500 0.2500
Tl1 Tl 0.0000 0.0000 0.0000
Bi1 Bi 0.0000 0.0000 0.5000
F1 F 0.0000 0.0000 0.2685
# * calculated volume: 23.47 A^3/atom
# * E_form (uncorrected): -2.39 eV/atom
# * Fermi-level density of states: 0.00 states/eV/cell
# * total magnetization: 0.0000 μB per atom

---

Entry 17:
# AcPr3P, optimized geometry, DFT PBE-GGA
data_AcPr3P
_chemical_formula_sum 'Ac1 Pr3 P1'
_space_group_name_H-M_alt 'P m -3 m'
_space_group_IT_number 221
_space_group_name_Hall '-P 4 2 3'
_cell_length_a 5.7003
_cell_length_b 5.7003
_cell_length_c 5.7003
_cell_angle_alpha 90.00
_cell_angle_beta 90.00
_cell_angle_gamma 90.00
loop_
_atom_site_label
_atom_site_type_symbol
_atom_site_fract_x
_atom_site_fract_y
_atom_site_fract_z
Ac1 Ac 0.0000 0.0000 0.0000
Pr1 Pr 0.0000 0.5000 0.5000
P1 P 0.5000 0.5000 0.5000
# * energy: -5.197 eV per atom
# * calculated volume: 37.04 A^3/atom
# * Fermi-level density of states: 9.22 states/eV/cell
# * total magnetization: 0.0001 μB per atom

---

Entry 18:
# BeSbBr2, optimized geometry, DFT PBE-GGA
data_BeSbBr2
_chemical_formula_sum 'Be2 Sb2 Br4'
_space_group_name_H-M_alt 'I m m m'
_space_group_IT_number 71
_space_group_name_Hall '-I 2 2'
_cell_length_a 3.1090
_cell_length_b 7.9249
_cell_length_c 12.4447
_cell_angle_alpha 90.00
_cell_angle_beta 90.00
_cell_angle_gamma 90.00
loop_
_atom_site_label
_atom_site_type_symbol
_atom_site_fract_x
_atom_site_fract_y
_atom_site_fract_z
Be1 Be 0.0000 0.0000 0.0000
Sb1 Sb 0.0000 0.0000 0.5000
Br1 Br 0.0000 0.5000 0.3713
# * calculated volume: 38.33 A^3/atom
# * E_form (uncorrected): -0.10 eV/atom
# * Fermi-level density of states: 4.98 states/eV/cell
# * polymorph energy (0 for the lowest one): 0.89 eV/f.u.
# * total magnetization: 0.0357 μB per atom

---

Entry 19:
# CeNdIrPd, optimized geometry, DFT PBE-GGA
data_CeNdIrPd
_chemical_formula_sum 'Ce4 Nd4 Ir4 Pd4'
_space_group_name_H-M_alt 'F -4 3 m'
_space_group_IT_number 216
_space_group_name_Hall 'F -4 2 3'
_cell_length_a 7.1152
_cell_length_b 7.1152
_cell_length_c 7.1152
_cell_angle_alpha 90.00
_cell_angle_beta 90.00
_cell_angle_gamma 90.00
loop_
_atom_site_label
_atom_site_type_symbol
_atom_site_fract_x
_atom_site_fract_y
_atom_site_fract_z
Ce1 Ce 0.0000 0.0000 0.0000
Nd1 Nd 0.0000 0.0000 0.5000
Ir1 Ir 0.2500 0.2500 0.7500
Pd1 Pd 0.2500 0.2500 0.2500
# * calculated volume: 22.51 A^3/atom
# * Fermi-level density of states: 32.72 states/eV/cell
# * polymorph energy (0 for the lowest one): 0.46 eV/f.u.
# * total magnetization: 0.2413 μB per atom

---

Entry 20:
# ScRh, optimized geometry, DFT PBE-GGA
data_ScRh
_chemical_formula_sum 'Sc4 Rh4'
_space_group_name_H-M_alt 'F m -3 m'
_space_group_IT_number 225
_space_group_name_Hall '-F 4 2 3'
_cell_length_a 5.3186
_cell_length_b 5.3186
_cell_length_c 5.3186
_cell_angle_alpha 90.00
_cell_angle_beta 90.00
_cell_angle_gamma 90.00
loop_
_atom_site_label
_atom_site_type_symbol
_atom_site_fract_x
_atom_site_fract_y
_atom_site_fract_z
Sc1 Sc 0.0000 0.0000 0.0000
Rh1 Rh 0.0000 0.0000 0.5000
# * energy: -7.380 eV per atom
# * calculated volume: 18.81 A^3/atom
# * Fermi-level density of states: 0.60 states/eV/cell
# * total magnetization: 0.0000 μB per atom